The following is a DFT calculation (PBE-GGA) of a geometry-optimized Zn4AgTe structure.

abc: 5.3779 5.3779 5.3779
angles: 60.00 60.00 60.00
Sites, in units of the cell vectors:
Zn 0.1254 0.6249 0.6249
Zn 0.6249 0.1254 0.6249
Zn 0.6249 0.6249 0.6249
Zn 0.6249 0.6249 0.1254
Te 0.0000 0.0000 0.0000
Ag 0.2500 0.2500 0.2500

Output
Its symmetry is No. 216. For the formation energy without anion corrections, the calculation gives 0.18 eV/atom. The total magnetization is 0.00 μB/f.u.